1.
Compound: Na12Se5S2
Source: Alexandria
Functional: PBE-GGA
Structure: relaxed

The structure belongs to space group C2/m (No. 12); the cell edges are 16.039, 6.959 and 9.862 Å and the angles 90.00°, 108.35° and 90.00°. The distinct sites, in fractional coordinates, are Na at (0.007, 0.000, 0.220), Na at (0.063, 0.500, 0.791), Na at (0.156, 0.248, 0.560), Na at (0.180, 0.236, 0.104), Se at (0.000, 0.500, 0.500), Se at (0.175, 0.000, 0.839), Se at (0.190, 0.000, 0.347) and S at (0.000, 0.345, 0.000).

As for the formation energy from raw total energies: -91 kJ/mol of atoms. The value obtained for the calculated total energy is -0.230 Ry/atom.


2.
Compound: NaSiSeS2
Source: Alexandria
Functional: PBE-GGA
Structure: relaxed

The structure belongs to space group P4/mmm (No. 123); the cell edges are 4.980, 4.980 and 4.953 Å and the angles 90.00°, 90.00° and 90.00°. The distinct sites, in fractional coordinates, are Na at (0.000, 0.000, 0.000), Si at (0.500, 0.500, 0.000), Se at (0.000, 0.000, 0.500) and S at (0.000, 0.500, 0.500).

As for the formation energy from raw total energies: 57 kJ/mol of atoms. The value obtained for the calculated total energy is -0.229 Ry/atom.


3.
Compound: NaSrSeS
Source: Alexandria
Functional: PBE-GGA
Structure: relaxed

The structure belongs to space group F-43m (No. 216); the cell edges are 7.317, 7.317 and 7.317 Å and the angles 90.00°, 90.00° and 90.00°. The distinct sites, in fractional coordinates, are Na at (0.000, 0.000, 0.000), Sr at (0.000, 0.000, 0.500), Se at (0.250, 0.250, 0.250) and S at (0.250, 0.250, 0.750).

As for the formation energy from raw total energies: -115 kJ/mol of atoms. The value obtained for the calculated total energy is -0.282 Ry/atom.


4.
Compound: NaTaSeS
Source: Alexandria
Functional: PBE-GGA
Structure: relaxed

The structure belongs to space group R3m (No. 160, hexagonal axes); the cell edges are 3.5010, 3.5010 and 22.2217 Å and the angles 90.00°, 90.00° and 120.00°. The distinct sites, in fractional coordinates, are Na at (0.0000, 0.0000, 0.0000), Ta at (0.0000, 0.0000, 0.8237), Se at (0.0000, 0.0000, 0.2336) and S at (0.0000, 0.0000, 0.4223).

As for the formation energy from raw total energies: -86 kJ/mol of atoms. The value obtained for the calculated total energy is -0.447 Ry/atom.